1.
Nb2Se3: optimized geometry, PBE.

The structure in POSCAR format:
```
Nb2Se3
1.0
7.957 0.000 0.000
0.000 3.416 0.000
-2.939 0.000 8.588
Nb Se
4 6
Direct
0.025 0.250 0.383
0.373 0.750 0.872
0.627 0.250 0.128
0.975 0.750 0.617
0.101 0.250 0.851
0.264 0.750 0.542
0.396 0.750 0.162
0.604 0.250 0.838
0.736 0.250 0.458
0.899 0.750 0.149
```

Results
Space group: No. 11
Magnetic moment in μB/cell: 0.0
E_form (uncorrected) in meV per atom: -833

2.
Te3Pb: optimized geometry, PBE.

The structure in POSCAR format:
```
Te3Pb
1.0
6.810 -2.241 0.000
6.810 2.241 0.000
-1.632 0.000 4.436
Te Pb
3 1
Direct
0.000 0.000 0.000
0.249 0.249 0.249
0.751 0.751 0.751
0.500 0.500 0.500
```

Results
Space group: No. 12
Magnetic moment in μB/cell: 0.0
E_form (uncorrected) in meV per atom: -123

Question: Which formula does entry 2 have?
Answer: Te3Pb

Question: Look up the E_form (uncorrected) of the second one.
Answer: -123 meV per atom